Computed, not measured: a relaxed structure of AsWSe2F at the PBE+U level of DFT.

The calculated volume is 101.0 Å³ per cell. The value obtained for the relative energy among the computed polymorphs is 1.58 eV/f.u. Its crystal system is tetragonal. For the mass density, the calculation gives 7.16 g/cm3. The calculation puts the magnetization at 0.674 μB per atom.

Lattice parameters (Å, degrees): 5.039 5.039 3.978 90.00 90.00 90.00
Last column: magnetic moment on the atom in μB.
Positions (direct):
1 Se 0.500 0.000 0.000  -0.13
2 Se 0.000 0.500 0.000  -0.13
3 As 0.000 0.000 0.500  -0.09
4 W 0.500 0.500 0.500  3.25
5 F 0.000 0.000 0.000  0.00